No. 1
Here is an optimized crystal structure of Be2CrCd from Alexandria via LeMat-Bulk. Energies are from PBE.

The structure in extended XYZ format:
```
4
Lattice="4.672 0.001 0.001 3.953 2.491 0.001 1.296 0.374 4.162" Properties=species:S:1:pos:R:3 pbc="T T T"
Be 0.248 0.072 0.156
Cd 4.881 1.410 2.307
Cr 2.545 0.735 0.750
Be 7.208 2.082 3.034
```

Properties
E_form = 428 meV per atom

=====

No. 2
Here is an optimized crystal structure of BeCrCd3 from Alexandria via LeMat-Bulk. Energies are from PBE.

The structure in extended XYZ format:
```
5
Lattice="-0.003 3.662 -2.897 -4.602 0.490 0.625 0.794 2.856 3.608" Properties=species:S:1:pos:R:3 pbc="T T T"
Cd 0.397 1.428 1.804
Cd -0.002 1.831 -1.449
Cd -2.301 0.245 0.312
Cr -1.906 3.504 0.668
Be 0.000 0.000 0.000
```

Properties
Energy above the most stable polymorph in this dataset = 0.0 kJ/mol of atoms
E_form = 585 meV per atom

=====

No. 3
Here is an optimized crystal structure of Be2CrCd from Alexandria via LeMat-Bulk. Energies are from PBE.

The structure in extended XYZ format:
```
8
Lattice="6.296 0.000 0.000 0.000 6.296 0.000 3.148 3.148 2.648" Properties=species:S:1:pos:R:3 pbc="T T T"
Be 4.612 1.574 0.662
Cd 6.296 3.148 1.324
Be 4.722 4.832 1.986
Cd 0.000 0.000 0.000
Cr 3.148 6.296 1.324
Cr 3.148 3.148 0.000
Be 7.869 7.760 1.986
Be 1.684 4.722 0.662
```

Properties
E_form = 822 meV per atom

=====

> Look up the E_form of the first one.

428 meV per atom

=====

> What is the formula in the second record?

BeCrCd3

=====

> Which of these has the lowest E_form?

number 1

=====

> The highest E_form belongs to which entry?

number 3